(1)
Entry from Alexandria via LeMat-Bulk: an optimized crystal structure of BaHS2Cl (PBEsol).

Final energy = -2.923 eV/atom
Theoretical density = 1.670 g/cm³

Cell lengths 5.9064, 6.3296, 6.3296 Å; angles 90.00, 90.00, 90.00 degrees
Each line ends with the local moment (μB).
Sites, in units of the cell vectors:
S 0.0000 0.5000 0.0000  0.82
S 0.0000 0.0000 0.5000  0.82
Cl 0.5000 0.0000 0.0000  0.07
Ba 0.0000 0.0000 0.0000  -0.01
H 0.5000 0.5000 0.5000  0.37

***

(2)
Entry from Alexandria via LeMat-Bulk: an optimized crystal structure of Ba2SrHCl (PBEsol).

Final energy = -2.349 eV/atom
Theoretical density = 3.092 g/cm³

Cell lengths 4.2708, 7.0814, 7.0814 Å; angles 90.00, 90.00, 90.00 degrees
Sites, in units of the cell vectors:
Ba 0.0000 0.0000 0.5000
Ba 0.0000 0.5000 0.0000
Cl 0.5000 0.5000 0.5000
Sr 0.0000 0.0000 0.0000
H 0.5000 0.0000 0.0000